No. 1
A plane-wave DFT calculation with PBE-GGA was carried out for Ho2Tl3In after structural relaxation.

Cell lengths 3.426, 5.782, 9.443 Å; angles 107.83, 100.45, 90.00 degrees
Atoms (fractional coordinates):
Ho  0.345  0.345  0.689
Ho  0.655  0.655  0.311
In  0.000  0.000  0.000
Tl  0.829  0.829  0.658
Tl  0.000  0.500  0.000
Tl  0.171  0.171  0.342

Computed properties:
ΔE_f: -0.05 eV/atom
E: -19.3 eV/cell

---

No. 2
A plane-wave DFT calculation with PBE-GGA was carried out for Ho3Tm3TlIn2 after structural relaxation.

Cell lengths 3.720, 8.859, 8.859 Å; angles 120.00, 90.00, 90.00 degrees
Each line ends with the local moment (μB).
Atoms (fractional coordinates):
Ho  0.500  0.000  0.711  0.12
Ho  0.500  0.711  0.000  0.12
Ho  0.500  0.289  0.289  0.12
In  0.500  0.333  0.667  0.00
In  0.500  0.667  0.333  0.00
Tl  0.000  0.000  0.000  -0.01
Tm  0.000  0.000  0.381  0.15
Tm  0.000  0.619  0.619  0.15
Tm  0.000  0.381  0.000  0.15

Computed properties:
ΔE_f: -0.28 eV/atom
E: -37.5 eV/cell

---

No. 3
A plane-wave DFT calculation with PBE-GGA was carried out for Y3Ho3TlIn2 after structural relaxation.

Cell lengths 3.790, 8.901, 8.901 Å; angles 120.00, 90.00, 90.00 degrees
Each line ends with the local moment (μB).
Atoms (fractional coordinates):
Tl  0.000  0.000  0.000  -0.01
Y  0.500  0.000  0.714  0.15
Y  0.500  0.286  0.286  0.15
Y  0.500  0.714  0.000  0.15
In  0.500  0.333  0.667  -0.01
In  0.500  0.667  0.333  -0.01
Ho  0.000  0.617  0.617  0.23
Ho  0.000  0.000  0.383  0.23
Ho  0.000  0.383  0.000  0.23

Computed properties:
ΔE_f: -0.31 eV/atom
E: -43.7 eV/cell

---

No. 4
A plane-wave DFT calculation with PBE-GGA was carried out for Y3Ho3Tl2In after structural relaxation.

Cell lengths 3.814, 8.885, 8.885 Å; angles 120.00, 90.00, 90.00 degrees
Each line ends with the local moment (μB).
Atoms (fractional coordinates):
Tl  0.500  0.333  0.667  -0.01
Tl  0.500  0.667  0.333  -0.01
Ho  0.000  0.000  0.381  0.24
Ho  0.000  0.381  0.000  0.24
Ho  0.000  0.619  0.619  0.24
In  0.000  0.000  0.000  -0.02
Y  0.500  0.000  0.714  0.16
Y  0.500  0.714  0.000  0.16
Y  0.500  0.286  0.286  0.16

Computed properties:
ΔE_f: -0.28 eV/atom
E: -43.1 eV/cell

---

No. 5
A plane-wave DFT calculation with PBE-GGA was carried out for YHo5TlIn2 after structural relaxation.

Cell lengths 8.528, 8.528, 9.347 Å; angles 117.14, 117.14, 90.00 degrees
Atoms (fractional coordinates):
Tl  0.250  0.250  0.500
Tl  0.750  0.750  0.500
In  0.390  0.890  0.000
In  0.110  0.390  0.000
In  0.890  0.610  0.000
In  0.610  0.110  0.000
Ho  0.656  0.156  0.733
Ho  0.344  0.844  0.267
Ho  0.000  0.000  0.000
Ho  0.156  0.077  0.733
Ho  0.077  0.577  0.733
Ho  0.500  0.500  0.000
Ho  0.844  0.923  0.267
Ho  0.577  0.656  0.733
Ho  0.923  0.423  0.267
Ho  0.423  0.344  0.267
Y  0.750  0.250  0.500
Y  0.250  0.750  0.500

Computed properties:
ΔE_f: -0.03 eV/atom
E: -74.9 eV/cell

---

No. 6
A plane-wave DFT calculation with PBE-GGA was carried out for HoZrTlIn after structural relaxation.

Cell lengths 5.182, 5.182, 5.182 Å; angles 60.00, 60.00, 60.00 degrees
Each line ends with the local moment (μB).
Atoms (fractional coordinates):
Tl  0.250  0.250  0.250  0.00
In  0.750  0.750  0.750  0.00
Ho  0.500  0.500  0.500  0.04
Zr  0.000  0.000  0.000  0.15

Computed properties:
ΔE_f: -0.18 eV/atom
E: -18.9 eV/cell

---

No. 7
A plane-wave DFT calculation with PBE-GGA was carried out for Ho2TmIn2 after structural relaxation.

Cell lengths 3.711, 5.303, 13.902 Å; angles 90.00, 97.69, 90.00 degrees
Atoms (fractional coordinates):
Ho  0.237  0.750  0.474
Ho  0.763  0.250  0.526
Ho  0.953  0.250  0.905
Ho  0.047  0.750  0.095
Tm  0.150  0.250  0.301
Tm  0.850  0.750  0.699
In  0.642  0.750  0.286
In  0.448  0.750  0.897
In  0.552  0.250  0.103
In  0.358  0.250  0.714

Computed properties:
ΔE_f: -0.37 eV/atom
Distance to the lowest polymorph of the same formula: 0.00 kcal/mol of atoms
E: -41.9 eV/cell

---

No. 8
A plane-wave DFT calculation with PBE-GGA was carried out for HoTm6In4 after structural relaxation.

Cell lengths 3.643, 9.972, 9.972 Å; angles 120.00, 90.00, 90.00 degrees
Each line ends with the local moment (μB).
Atoms (fractional coordinates):
Tm  0.500  0.189  0.811  0.20
Tm  0.000  0.536  0.073  0.29
Tm  0.500  0.621  0.811  0.20
Tm  0.000  0.536  0.464  0.29
Tm  0.500  0.189  0.379  0.20
Tm  0.000  0.927  0.464  0.29
Ho  0.000  0.000  0.000  0.08
In  0.500  0.838  0.676  -0.01
In  0.500  0.324  0.162  -0.01
In  0.500  0.838  0.162  -0.01
In  0.000  0.333  0.667  0.00

Computed properties:
ΔE_f: -0.28 eV/atom
E: -45.4 eV/cell

---

Repeat the fifth record exactly.
A plane-wave DFT calculation with PBE-GGA was carried out for YHo5TlIn2 after structural relaxation.

Cell lengths 8.528, 8.528, 9.347 Å; angles 117.14, 117.14, 90.00 degrees
Atoms (fractional coordinates):
Tl  0.250  0.250  0.500
Tl  0.750  0.750  0.500
In  0.390  0.890  0.000
In  0.110  0.390  0.000
In  0.890  0.610  0.000
In  0.610  0.110  0.000
Ho  0.656  0.156  0.733
Ho  0.344  0.844  0.267
Ho  0.000  0.000  0.000
Ho  0.156  0.077  0.733
Ho  0.077  0.577  0.733
Ho  0.500  0.500  0.000
Ho  0.844  0.923  0.267
Ho  0.577  0.656  0.733
Ho  0.923  0.423  0.267
Ho  0.423  0.344  0.267
Y  0.750  0.250  0.500
Y  0.250  0.750  0.500

Computed properties:
ΔE_f: -0.03 eV/atom
E: -74.9 eV/cell